[1]
Density functional theory data (PBE) for ScCdO after structural relaxation.

Lattice parameters (Å, degrees): 3.457 3.457 10.454 99.44 99.44 59.95
Element x y z (fractional)
Sc 0.211 0.211 0.134
Sc 0.789 0.789 0.866
Cd 0.372 0.372 0.616
Cd 0.628 0.628 0.384
O 0.138 0.138 0.914
O 0.862 0.862 0.086

Formation energy (no corrections) ... -1974 meV per atom
D(E_F) ... 1.66 states/eV/f.u.

=====

[2]
Density functional theory data (PBE) for Tl3Ni after structural relaxation.

Lattice parameters (Å, degrees): 4.612 4.612 4.612 90.00 90.00 90.00
Element x y z (fractional)
Tl 0.000 0.000 0.500
Tl 0.000 0.500 0.000
Tl 0.500 0.000 0.000
Ni 0.500 0.500 0.500

Formation energy ... 0.4216 eV/atom
D(E_F) ... 3.11 states/eV/f.u.

=====

[3]
Density functional theory data (PBE) for LuScPaSn after structural relaxation.

Lattice parameters (Å, degrees): 5.167 5.167 5.167 60.00 60.00 60.00
Element x y z (fractional)
Lu 0.000 0.000 0.000
Sc 0.500 0.500 0.500
Pa 0.750 0.750 0.750
Sn 0.250 0.250 0.250

Formation energy ... -0.0239 eV/atom
D(E_F) ... 6.80 states/eV/f.u.

=====

For the records above, the corresponding final energy values read -36.3 -11.2 -24.4 eV for the cell shown.